Sc3PbI: optimized geometry, PBE.

Lattice parameters (Å, degrees): 5.280 5.280 5.280 90.00 90.00 90.00
Fractional coordinates of all 5 atoms:
Pb  0.500  0.500  0.500
I  0.000  0.000  0.000
Sc  0.000  0.500  0.000
Sc  0.000  0.000  0.500
Sc  0.500  0.000  0.000

Properties
raw total energy	-23.02	eV for the cell shown
ΔE to the lowest computed polymorph	0.0	meV per atom
D(E_F)	8.73	states/eV/f.u.
ΔE_f (raw)	0.25	eV/atom
space-group type	Pm-3m (221)

ScPb3I: optimized geometry, PBE.

Lattice parameters (Å, degrees): 5.770 5.770 5.770 90.00 90.00 90.00
Fractional coordinates of all 5 atoms:
Pb  0.000  0.500  0.000
Pb  0.000  0.000  0.500
Pb  0.500  0.000  0.000
I  0.500  0.500  0.500
Sc  0.000  0.000  0.000

Properties
raw total energy	-17.89	eV for the cell shown
ΔE to the lowest computed polymorph	0.0	meV per atom
D(E_F)	12.08	states/eV/f.u.
ΔE_f (raw)	0.22	eV/atom
space-group type	Pm-3m (221)